# Pm3Y2UN6, relaxed, DFT PBE
data_Pm3Y2UN6
_cell_length_a 6.082
_cell_length_b 6.082
_cell_length_c 6.138
_cell_angle_alpha 99.52
_cell_angle_beta 99.52
_cell_angle_gamma 119.94
_symmetry_space_group_name_H-M 'P 1'
_symmetry_Int_Tables_number 1
loop_
_symmetry_equiv_pos_as_xyz
'x,y,z'
loop_
_atom_site_label
_atom_site_fract_x
_atom_site_fract_y
_atom_site_fract_z
Pm1 0.000 0.000 0.000
Pm2 0.332 0.668 0.000
Pm3 0.668 0.332 0.000
Y1 0.166 0.834 0.500
Y2 0.834 0.166 0.500
U1 0.500 0.500 0.500
N1 0.114 0.425 0.274
N2 0.264 0.264 0.727
N3 0.425 0.114 0.274
N4 0.575 0.886 0.726
N5 0.736 0.736 0.273
N6 0.886 0.575 0.726
# Density of states at the Fermi level = 5.65 states/eV/cell
# Calculated total energy = -8.93 eV per atom
# Energy relative to the elements, uncorrected = -1.566 eV per atom
# SG = C2/m